Cu3HgPb | PBE | optimized geometry

For the density, the calculation gives 7.86 g cm⁻³. The total magnetization comes out at 0.000 μB per formula unit. As for the density of states at the Fermi level: 2.77 states/eV/f.u. The value obtained for the energy relative to the lowest polymorph listed for this composition is 0.128 eV per atom.

The structure belongs to space group Pm-3m (No. 221); the cell edges are 5.019, 5.019 and 5.019 Å and the angles 90.00°, 90.00° and 90.00°. The distinct sites, in fractional coordinates, are Cu at (0.000, 0.000, 0.500), Hg at (0.500, 0.500, 0.500) and Pb at (0.000, 0.000, 0.000).

Pb6I | PBE | optimized geometry

For the density, the calculation gives 7.29 g cm⁻³. The calculated total energy comes out at -3.128 eV per atom. The total magnetization comes out at 0.000 μB per formula unit. As for the density of states at the Fermi level: 6.56 states/eV/f.u.

The structure belongs to space group Im-3m (No. 229); the cell edges are 8.545, 8.545 and 8.545 Å and the angles 90.00°, 90.00° and 90.00°. The distinct sites, in fractional coordinates, are Pb at (0.000, 0.250, 0.500) and I at (0.000, 0.000, 0.000).

Which value of density does entry 2 give?
7.29 g cm⁻³

The lowest density belongs to which entry?
Pb6I